Record 1
Computed, not measured: an optimized crystal structure of NaPbAu2 at the PBE level of DFT.

The density of states at the Fermi level is 0.29 states/eV per atom. As for the energy of formation: 0.0464 eV/atom.

Cell lengths 4.4488, 4.4488, 19.5331 Å; angles 90.00, 90.00, 90.00 degrees
Last column: nearest neighbours and their distance in Å.
Space group I-42d (No. 122)
One atom of each set of equivalent atoms:
1 Na 0.0000 0.0000 0.0000 x4  4 Au 2.88, 4 Pb 3.15
2 Pb 0.0000 0.0000 0.5000 x4  4 Au 2.93, 4 Na 3.15
3 Au 0.2334 0.2500 0.1250 x8  2 Na 2.88, 2 Pb 2.93, 2 Au 3.04

Record 2
Computed, not measured: an optimized crystal structure of Nd6DyCd at the PBE level of DFT.

The calculation puts the energy relative to the lowest polymorph listed for this composition at 0.000 eV/atom. The density of states at the Fermi level is 1.18 states/eV per atom. As for the energy of formation: -0.0436 eV/atom.

Cell lengths 5.0393, 5.0393, 10.2849 Å; angles 90.00, 90.00, 90.00 degrees
Last column: nearest neighbours and their distance in Å.
Space group P4/mmm (No. 123)
One atom of each set of equivalent atoms:
1 Nd 0.0000 0.0000 0.0000 x1  4 Cd 3.56, 8 Nd 3.56
2 Nd 0.0000 0.0000 0.5000 x1  4 Dy 3.56, 8 Nd 3.64
3 Nd 0.0000 0.5000 0.2452 x4  8 Nd 3.56-3.64, 2 Cd 3.56, 2 Dy 3.64
4 Dy 0.5000 0.5000 0.5000 x1  12 Nd 3.56-3.64
5 Cd 0.5000 0.5000 0.0000 x1  12 Nd 3.56

Record 3
Computed, not measured: an optimized crystal structure of NbCrRh2 at the PBE level of DFT.

The density of states at the Fermi level is 1.08 states/eV per atom. As for the energy of formation: -0.1331 eV/atom.

Cell lengths 3.2508, 3.2508, 5.8015 Å; angles 90.00, 90.00, 90.00 degrees
Last column: nearest neighbours and their distance in Å.
Space group P4/mmm (No. 123)
One atom of each set of equivalent atoms:
1 Nb 0.0000 0.0000 0.0000 x1  8 Rh 2.73, 2 Cr 2.90
2 Cr 0.0000 0.0000 0.5000 x1  8 Rh 2.70, 2 Nb 2.90
3 Rh 0.5000 0.5000 0.2544 x2  4 Cr 2.70, 4 Nb 2.73, 2 Rh 2.85-2.95

Record 4
Computed, not measured: an optimized crystal structure of Cd2W at the PBE level of DFT.

The calculation puts the energy relative to the lowest polymorph listed for this composition at 0.056 eV/atom. The density of states at the Fermi level is 0.58 states/eV per atom. As for the energy of formation: 0.4995 eV/atom.

Cell lengths 2.8833, 16.2196, 4.8637 Å; angles 90.00, 90.00, 90.00 degrees
Last column: nearest neighbours and their distance in Å.
Space group Cmcm (No. 63)
One atom of each set of equivalent atoms:
1 Cd 0.0000 0.0607 0.2500 x4  10 Cd 2.88-3.18, 2 W 3.06
2 Cd 0.0000 0.3857 0.2500 x4  8 Cd 2.88-3.18, 4 W 2.94-3.05
3 W 0.0000 0.2727 0.7500 x4  6 W 2.88-2.92, 6 Cd 2.94-3.06

Record 5
Computed, not measured: an optimized crystal structure of NbFeGeH at the PBE level of DFT.

The calculation puts the energy relative to the lowest polymorph listed for this composition at 0.067 eV/atom. The density of states at the Fermi level is 0.38 states/eV per atom.

Cell lengths 3.0026, 3.2425, 9.7512 Å; angles 90.00, 90.00, 90.00 degrees
Last column: nearest neighbours and their distance in Å.
Space group Amm2 (No. 38)
One atom of each set of equivalent atoms:
1 Nb 0.0000 0.0000 0.0000 x2  4 H 2.21
2 Fe 0.5000 0.0000 0.3174 x2  1 H 1.66
3 Ge 0.0000 0.0000 0.7170 x2  4 Fe 2.42, 2 Nb 2.67, 2 H 2.69
4 H 0.5000 0.0000 0.4878 x2  1 Fe 1.66

Record 6
Computed, not measured: an optimized crystal structure of Sr2YAlCu2O7 at the PBE level of DFT.

The density of states at the Fermi level is 0.16 states/eV per atom. As for the formation energy (no corrections): -2324 meV per atom.

Cell lengths 22.8757, 5.5478, 5.3974 Å; angles 90.00, 90.00, 90.00 degrees
Last column: nearest neighbours and their distance in Å.
Space group Ima2 (No. 46)
One atom of each set of equivalent atoms:
1 Sr 0.1535 0.0202 0.0000 x8  3 O 2.45-2.62
2 Y 0.0000 0.0000 0.0036 x4  8 O 2.37-2.48
3 Al 0.2500 0.5746 0.9692 x4  4 O 1.76-1.81
4 Cu 0.0733 0.5010 0.0043 x8  4 O 1.94-1.96
5 O 0.0624 0.2444 0.2491 x8  2 Cu 1.95-1.96
6 O 0.0653 0.7450 0.2595 x8  2 Cu 1.94
7 O 0.1808 0.0536 0.5291 x8  1 Al 1.76
8 O 0.2500 0.6462 0.6418 x4  2 Al 1.81

Record 7
Computed, not measured: an optimized crystal structure of PuPb3 at the PBE level of DFT.

The density of states at the Fermi level is 2.69 states/eV per atom. As for the energy of formation: -0.0648 eV/atom.

Cell lengths 3.4950, 11.2956, 5.9267 Å; angles 90.00, 90.00, 90.00 degrees
Last column: nearest neighbours and their distance in Å.
Space group Imm2 (No. 44)
One atom of each set of equivalent atoms:
1 Pu 0.0000 0.0000 0.0000 x2  10 Pb 3.41-3.48, 2 Pu 3.50
2 Pb 0.0000 0.2506 0.6800 x4  3 Pu 3.41-3.48, 9 Pb 3.41-3.50
3 Pb 0.0000 0.5000 0.0054 x2  4 Pu 3.41-3.47, 8 Pb 3.41-3.50

Record 8
Computed, not measured: an optimized crystal structure of Ba2ErUAs4 at the PBE level of DFT.

The density of states at the Fermi level is 0.53 states/eV per atom. As for the energy of formation: -1.0856 eV/atom.

Cell lengths 7.4158, 4.3482, 7.8533 Å; angles 90.00, 108.58, 90.00 degrees
Last column: nearest neighbours and their distance in Å.
Space group P2/m (No. 10)
One atom of each set of equivalent atoms:
1 Ba 0.0000 0.0000 0.0000 x1  6 As 3.37-3.38
2 Ba 0.5000 0.5000 0.0000 x1  6 As 3.30-3.31
3 Er 0.0000 0.5000 0.5000 x1  6 As 2.94-2.95
4 U 0.5000 0.0000 0.5000 x1  6 As 2.84-2.89
5 As 0.2447 0.0000 0.7028 x2  1 U 2.84, 2 Er 2.95
6 As 0.2739 0.5000 0.3001 x2  2 U 2.89, 1 Er 2.94

Record 9
Computed, not measured: an optimized crystal structure of Pm2Al2Zn15 at the PBE level of DFT.

The density of states at the Fermi level is 0.33 states/eV per atom. As for the energy of formation: -0.2479 eV/atom.

Cell lengths 9.0782, 9.0782, 13.1869 Å; angles 90.00, 90.00, 120.00 degrees
Last column: nearest neighbours and their distance in Å.
Space group R-3m (No. 166, hexagonal axes)
One atom of each set of equivalent atoms:
1 Pm 0.0000 0.0000 0.1645 x6  1 Al 3.12, 18 Zn 3.20-3.46
2 Al 0.0000 0.0000 0.4009 x6  1 Al 2.61, 6 Zn 2.77-2.90
3 Zn 0.0000 0.2980 0.5000 x18  8 Zn 2.60-2.75
4 Zn 0.0000 0.5000 0.0000 x9  8 Zn 2.60-2.66, 2 Al 2.77
5 Zn 0.0095 0.5048 0.6534 x18  8 Zn 2.57-2.75

Record 10
Computed, not measured: an optimized crystal structure of Ga4SnTe7 at the PBE level of DFT.

As for the formation energy (no corrections): -298 meV per atom.

Cell lengths 16.7465, 7.3000, 6.9095 Å; angles 90.00, 90.00, 90.00 degrees
Last column: nearest neighbours and their distance in Å.
Space group Pmn2_1 (No. 31)
One atom of each set of equivalent atoms:
1 Ga 0.1252 0.1633 0.0000 x4  4 Te 2.61-2.70
2 Ga 0.2474 0.6781 0.9930 x4  4 Te 2.60-2.71
3 Sn 0.0000 0.4465 0.4603 x2  3 Te 2.98-3.08
4 Te 0.0000 0.3724 0.8989 x2  2 Ga 2.69
5 Te 0.1173 0.8298 0.8647 x4  2 Ga 2.60-2.61
6 Te 0.1181 0.1491 0.3905 x4  2 Ga 2.68-2.70, 1 Sn 2.98
7 Te 0.2377 0.6743 0.3850 x4  3 Ga 2.69-2.71

Record 11
Computed, not measured: an optimized crystal structure of NbTl2Co at the PBE level of DFT.

The density of states at the Fermi level is 0.91 states/eV per atom. As for the energy of formation: 0.7819 eV/atom.

Cell lengths 7.5167, 7.5167, 5.7267 Å; angles 90.00, 90.00, 90.00 degrees
Last column: nearest neighbours and their distance in Å.
Space group I-42d (No. 122)
One atom of each set of equivalent atoms:
1 Nb 0.0000 0.0000 0.0000 x4  2 Co 2.86, 4 Tl 2.95
2 Tl 0.2136 0.2500 0.6250 x8  2 Co 2.57
3 Co 0.0000 0.0000 0.5000 x4  4 Tl 2.57, 2 Nb 2.86

Record 12
Computed, not measured: an optimized crystal structure of PrTc3C2 at the PBE level of DFT.

The density of states at the Fermi level is 0.46 states/eV per atom. As for the energy of formation: 0.0220 eV/atom.

Cell lengths 12.7330, 3.7545, 8.1830 Å; angles 90.00, 116.20, 90.00 degrees
Last column: nearest neighbours and their distance in Å.
Space group C2/m (No. 12)
One atom of each set of equivalent atoms:
1 Pr 0.1324 0.0000 0.0176 x4  3 C 2.53-2.76
2 Tc 0.0584 0.0000 0.3908 x4  2 C 2.07
3 Tc 0.1134 0.5000 0.6677 x4  3 C 2.07-2.18
4 Tc 0.2139 0.5000 0.3791 x4  2 C 1.95-2.14
5 C 0.0276 0.5000 0.2710 x4  4 Tc 2.07-2.14
6 C 0.2045 0.0000 0.7742 x4  3 Tc 1.95-2.18